5
Lattice="-2.630 1.791 2.407 -2.912 -0.753 -2.622 -0.922 -4.447 2.301" Properties=species:S:1:pos:R:3 comment="VPAuO2 (PBE with a Hubbard U, optimized geometry)" dos_ef_per_ev_cell=5.42 relative_energy_ev_per_fu=6.26 spacegroup="No. 123" pbc="T T T"
P -0.461 -2.224 1.151
Au 0.000 0.000 0.000
O -1.456 -0.377 -1.311
O -1.315 0.895 1.203
V -3.232 -1.705 1.043